# 1
## HfAlF3 (PBE)

Data for a relaxed HfAlF3 crystal.

Cell lengths 4.1445, 4.1445, 4.1445 Å; angles 90.00, 90.00, 90.00 degrees
Last column: nearest neighbours and their distance in Å.
Sites, in units of the cell vectors:
Hf1 0.0000 0.0000 0.0000  12 F 2.93
Al1 0.5000 0.5000 0.5000  6 F 2.07
F1 0.0000 0.5000 0.5000  2 Al 2.07
F2 0.5000 0.0000 0.5000  2 Al 2.07
F3 0.5000 0.5000 0.0000  2 Al 2.07

Calculated values
Spin magnetization, μB per atom: 0.369
Volume, Å³/cell: 71.2
DFT total energy, eV/cell: -25.63
Density, g cm⁻³: 6.12
DOS at the Fermi energy, states/eV per cell: 1.085

# 2
## HfAlF2 (PBE)

Data for a relaxed HfAlF2 crystal.

Cell lengths 6.1336, 6.1336, 6.1336 Å; angles 90.00, 90.00, 90.00 degrees
Last column: nearest neighbours and their distance in Å.
Sites, in units of the cell vectors:
Hf1 0.0000 0.0000 0.0000  8 F 2.66
Hf2 0.0000 0.5000 0.5000  8 F 2.66
Hf3 0.5000 0.0000 0.5000  8 F 2.66
Hf4 0.5000 0.5000 0.0000  8 F 2.66
Al1 0.0000 0.0000 0.5000  8 F 2.66
Al2 0.0000 0.5000 0.0000  8 F 2.66
Al3 0.5000 0.0000 0.0000  8 F 2.66
Al4 0.5000 0.5000 0.5000  8 F 2.66
F1 0.2500 0.2500 0.2500  4 Hf 2.66, 4 Al 2.66
F2 0.2500 0.2500 0.7500  4 Hf 2.66, 4 Al 2.66
F3 0.2500 0.7500 0.2500  4 Hf 2.66, 4 Al 2.66
F4 0.2500 0.7500 0.7500  4 Hf 2.66, 4 Al 2.66
F5 0.7500 0.2500 0.2500  4 Hf 2.66, 4 Al 2.66
F6 0.7500 0.2500 0.7500  4 Hf 2.66, 4 Al 2.66
F7 0.7500 0.7500 0.2500  4 Hf 2.66, 4 Al 2.66
F8 0.7500 0.7500 0.7500  4 Al 2.66, 4 Hf 2.66

Calculated values
Spin magnetization, μB per atom: 0.273
Volume, Å³/cell: 230.8
DFT total energy, eV/cell: -84.78
Density, g cm⁻³: 7.01
DOS at the Fermi energy, states/eV per cell: 12.384

# 3
## HfAlF3 (PBE)

Data for a relaxed HfAlF3 crystal.

Cell lengths 4.3191, 4.3191, 4.3191 Å; angles 90.00, 90.00, 90.00 degrees
Last column: nearest neighbours and their distance in Å.
Sites, in units of the cell vectors:
Hf1 0.0000 0.0000 0.0000  6 F 2.16
Al1 0.5000 0.5000 0.5000  12 F 3.05
F1 0.0000 0.0000 0.5000  2 Hf 2.16
F2 0.0000 0.5000 0.0000  2 Hf 2.16
F3 0.5000 0.0000 0.0000  2 Hf 2.16

Calculated values
Spin magnetization, μB per atom: 0.233
Volume, Å³/cell: 80.6
DFT total energy, eV/cell: -29.08
Density, g cm⁻³: 5.41
DOS at the Fermi energy, states/eV per cell: 4.464

# 4
## HfAlF2 (PBE)

Data for a relaxed HfAlF2 crystal.

Cell lengths 3.6707, 3.6707, 15.4329 Å; angles 90.00, 90.00, 120.00 degrees
Last column: nearest neighbours and their distance in Å.
Sites, in units of the cell vectors:
Hf1 0.0000 0.0000 0.0000  2 F 2.15
Hf2 0.3333 0.6667 0.6667  2 F 2.15
Hf3 0.6667 0.3333 0.3333  2 F 2.15
Al1 0.0000 0.0000 0.5000  6 F 2.16
Al2 0.3333 0.6667 0.1667  6 F 2.16
Al3 0.6667 0.3333 0.8333  6 F 2.16
F1 0.0000 0.0000 0.1394  1 Hf 2.15, 3 Al 2.16, 3 F 2.28
F2 0.0000 0.0000 0.8606  1 Hf 2.15, 3 Al 2.16, 3 F 2.28
F3 0.3333 0.6667 0.5273  1 Hf 2.15, 3 Al 2.16, 3 F 2.28
F4 0.3333 0.6667 0.8060  1 Hf 2.15, 3 Al 2.16, 3 F 2.28
F5 0.6667 0.3333 0.1940  1 Hf 2.15, 3 Al 2.16, 3 F 2.28
F6 0.6667 0.3333 0.4727  1 Hf 2.15, 3 Al 2.16, 3 F 2.28

Calculated values
Spin magnetization, μB per atom: 0.145
Volume, Å³/cell: 180.1
DFT total energy, eV/cell: -69.19
Density, g cm⁻³: 6.73
DOS at the Fermi energy, states/eV per cell: 5.412

# 5
## HfAlF2 (PBE)

Data for a relaxed HfAlF2 crystal.

Cell lengths 4.8183, 4.8183, 10.5060 Å; angles 90.00, 90.00, 90.00 degrees
Last column: nearest neighbours and their distance in Å.
Sites, in units of the cell vectors:
Hf1 0.0000 0.0000 0.0000  4 F 2.41
Hf2 0.0000 0.5000 0.2500  4 F 2.41
Hf3 0.5000 0.0000 0.7500  4 F 2.41
Hf4 0.5000 0.5000 0.5000  4 F 2.41
Al1 0.0000 0.0000 0.5000  4 F 1.95
Al2 0.0000 0.5000 0.7500  4 F 1.95
Al3 0.5000 0.0000 0.2500  4 F 1.95
Al4 0.5000 0.5000 0.0000  4 F 1.95
F1 0.1636 0.2500 0.6250  2 Al 1.95
F2 0.2500 0.6636 0.8750  2 Al 1.95
F3 0.2500 0.8364 0.3750  2 Al 1.95
F4 0.3364 0.2500 0.1250  2 Al 1.95
F5 0.6636 0.7500 0.1250  2 Al 1.95
F6 0.7500 0.1636 0.3750  2 Al 1.95
F7 0.7500 0.3364 0.8750  2 Al 1.95
F8 0.8364 0.7500 0.6250  2 Al 1.95

Calculated values
Spin magnetization, μB per atom: 0.000
Volume, Å³/cell: 243.9
DFT total energy, eV/cell: -86.78
Density, g cm⁻³: 6.63
DOS at the Fermi energy, states/eV per cell: 5.236

# 6
## HfAlI2F (PBE)

Data for a relaxed HfAlI2F crystal.

Cell lengths 6.0047, 6.0047, 4.0345 Å; angles 90.00, 90.00, 90.00 degrees
Last column: nearest neighbours and their distance in Å.
Sites, in units of the cell vectors:
Hf1 0.0000 0.0000 0.0000  2 F 2.02
Al1 0.5000 0.5000 0.0000  8 I 3.62, 2 Al 4.03
I1 0.0000 0.5000 0.5000  2 F 3.00
I2 0.5000 0.0000 0.5000  2 F 3.00
F1 0.0000 0.0000 0.5000  2 Hf 2.02

Calculated values
Spin magnetization, μB per atom: 0.374
Volume, Å³/cell: 145.5
DFT total energy, eV/cell: -20.95
Density, g cm⁻³: 5.46
DOS at the Fermi energy, states/eV per cell: 1.089

# 7
## HfAlIr2F (PBE)

Data for a relaxed HfAlIr2F crystal.

Cell lengths 4.5541, 4.5541, 3.9399 Å; angles 90.00, 90.00, 90.00 degrees
Last column: nearest neighbours and their distance in Å.
Sites, in units of the cell vectors:
Hf1 0.0000 0.0000 0.0000  2 F 1.97
Al1 0.5000 0.5000 0.0000  8 Ir 3.01, 4 Hf 3.22
Ir1 0.0000 0.5000 0.5000  2 F 2.28
Ir2 0.5000 0.0000 0.5000  2 F 2.28
F1 0.0000 0.0000 0.5000  2 Hf 1.97

Calculated values
Spin magnetization, μB per atom: 0.000
Volume, Å³/cell: 81.7
DFT total energy, eV/cell: -33.11
Density, g cm⁻³: 12.37
DOS at the Fermi energy, states/eV per cell: 3.273

# 8
## HfAlN2F (PBE)

Data for a relaxed HfAlN2F crystal.

Cell lengths 3.8507, 3.8507, 3.4171 Å; angles 90.00, 90.00, 90.00 degrees
Last column: nearest neighbours and their distance in Å.
Sites, in units of the cell vectors:
Hf1 0.0000 0.0000 0.0000  8 N 2.57, 4 F 2.72
Al1 0.5000 0.5000 0.5000  2 F 1.71
N1 0.0000 0.5000 0.5000  2 Al 1.93
N2 0.5000 0.0000 0.5000  2 Al 1.93
F1 0.5000 0.5000 0.0000  2 Al 1.71

Calculated values
Spin magnetization, μB per atom: 0.000
Volume, Å³/cell: 50.7
DFT total energy, eV/cell: -38.47
Density, g cm⁻³: 8.27
DOS at the Fermi energy, states/eV per cell: 0.423

# 9
## HfAlN2F (PBE)

Data for a relaxed HfAlN2F crystal.

Cell lengths 4.2314, 4.2314, 4.0090 Å; angles 90.00, 90.00, 90.00 degrees
Last column: nearest neighbours and their distance in Å.
Sites, in units of the cell vectors:
Hf1 0.0000 0.0000 0.0000  2 F 2.00, 4 N 2.12
Al1 0.5000 0.5000 0.5000  8 N 2.91, 4 F 2.99
N1 0.0000 0.5000 0.0000  2 Hf 2.12
N2 0.5000 0.0000 0.0000  2 Hf 2.12
F1 0.0000 0.0000 0.5000  2 Hf 2.00

Calculated values
Spin magnetization, μB per atom: 0.000
Volume, Å³/cell: 71.8
DFT total energy, eV/cell: -35.60
Density, g cm⁻³: 5.84
DOS at the Fermi energy, states/eV per cell: 2.512

# 10
## HfAl2OF (PBE)

Data for a relaxed HfAl2OF crystal.

Cell lengths 3.7500, 3.7500, 5.9645 Å; angles 90.00, 90.00, 90.00 degrees
Last column: nearest neighbours and their distance in Å.
Sites, in units of the cell vectors:
Hf1 0.0000 0.0000 0.0000  4 O 2.65
Al1 0.0000 0.5000 0.5000  2 F 1.88
Al2 0.5000 0.0000 0.5000  2 F 1.88
O1 0.5000 0.5000 0.0000  4 Hf 2.65
F1 0.0000 0.0000 0.5000  4 Al 1.88

Calculated values
Spin magnetization, μB per atom: 0.000
Volume, Å³/cell: 83.9
DFT total energy, eV/cell: -24.49
Density, g cm⁻³: 5.29
DOS at the Fermi energy, states/eV per cell: 3.042

# 11
## HfAl2OsF (PBE)

Data for a relaxed HfAl2OsF crystal.

Cell lengths 4.8269, 4.8269, 3.9732 Å; angles 90.00, 90.00, 90.00 degrees
Last column: nearest neighbours and their distance in Å.
Sites, in units of the cell vectors:
Hf1 0.0000 0.0000 0.0000  8 Al 3.13, 4 F 3.41
Al1 0.0000 0.5000 0.5000  2 Os 2.41
Al2 0.5000 0.0000 0.5000  2 Os 2.41
Os1 0.5000 0.5000 0.5000  2 F 1.99
F1 0.5000 0.5000 0.0000  2 Os 1.99

Calculated values
Spin magnetization, μB per atom: 0.000
Volume, Å³/cell: 92.6
DFT total energy, eV/cell: -29.46
Density, g cm⁻³: 7.92
DOS at the Fermi energy, states/eV per cell: 3.407

# 12
## Rb2HfAlF6 (PBE)

Data for a relaxed Rb2HfAlF6 crystal.

Cell lengths 7.3394, 7.3394, 7.3394 Å; angles 129.00, 129.00, 75.01 degrees
Last column: nearest neighbours and their distance in Å.
Sites, in units of the cell vectors:
Rb1 0.2500 0.7500 0.5000  12 F 3.29-3.68
Rb2 0.7500 0.2500 0.5000  12 F 3.29-3.68
Hf1 0.0000 0.0000 0.0000  6 F 2.01
Al1 0.5000 0.5000 0.0000  4 F 2.46
F1 0.1727 0.1727 0.0000  1 Hf 2.01
F2 0.2247 0.2247 0.4493  1 Hf 2.01
F3 0.2247 0.7753 0.0000  1 Hf 2.01
F4 0.7753 0.2247 0.0000  1 Hf 2.01
F5 0.7753 0.7753 0.5507  1 Hf 2.01
F6 0.8273 0.8273 0.0000  1 Hf 2.01

Calculated values
Spin magnetization, μB per atom: 0.100
Volume, Å³/cell: 232.5
DFT total energy, eV/cell: -54.64
Density, g cm⁻³: 3.50
DOS at the Fermi energy, states/eV per cell: 0.009

# 13
## HfAlRuF2 (PBE)

Data for a relaxed HfAlRuF2 crystal.

Cell lengths 3.9348, 3.9348, 5.9450 Å; angles 90.00, 90.00, 90.00 degrees
Last column: nearest neighbours and their distance in Å.
Sites, in units of the cell vectors:
Hf1 0.0000 0.0000 0.0000  4 F 1.97
Al1 0.0000 0.0000 0.5000  4 Ru 2.78, 2 Hf 2.97
Ru1 0.5000 0.5000 0.5000  4 Al 2.78
F1 0.0000 0.5000 0.0000  2 Hf 1.97
F2 0.5000 0.0000 0.0000  2 Hf 1.97

Calculated values
Spin magnetization, μB per atom: 0.268
Volume, Å³/cell: 92.0
DFT total energy, eV/cell: -32.17
Density, g cm⁻³: 6.22
DOS at the Fermi energy, states/eV per cell: 7.067